Compound: RbCuGe
Source: the Alexandria database
Functional: GGA-PBE
Structure: relaxed

Cell lengths 4.414, 4.414, 10.277 Å; angles 90.00, 90.00, 90.00 degrees
Positions (direct):
Rb (0.250, 0.250, 0.210)
Rb (0.750, 0.750, 0.790)
Cu (0.250, 0.750, 0.500)
Cu (0.750, 0.250, 0.500)
Ge (0.250, 0.250, 0.601)
Ge (0.750, 0.750, 0.399)

formation energy from the elements	0.01	eV per atom
total energy	-0.2363	Ry/atom
total magnetic moment	0.00	μB per formula unit
E above lowest polymorph	0.00	eV/f.u.